Below is crystalline CoNiH2 at its relaxed geometry, with properties calculated at the PBE level.

calculated total energy: -4.852 eV per atom
volume: 56 Å³ per cell

Cell: 2.692 3.806 5.494 Å, 90.00 90.00 89.99°
Site moments in Bohr magnetons follow the coordinates.
Fractional positions:
H: 0.201 0.118 0.963  -0.01
H: 0.201 0.094 0.485  0.00
H: 0.701 0.618 0.253  -0.01
H: 0.701 0.594 0.731  0.00
Co: 0.201 0.874 0.215  1.32
Co: 0.701 0.374 0.001  1.32
Ni: 0.201 0.848 0.733  0.09
Ni: 0.701 0.348 0.483  0.09

---

Below is crystalline CoNi3H at its relaxed geometry, with properties calculated at the PBE level.

offset from the most stable computed form: 45 meV/atom
calculated total energy: -5.519 eV per atom
volume: 46 Å³ per cell

Cell: 3.584 3.584 3.584 Å, 90.00 90.00 90.00°
Site moments in Bohr magnetons follow the coordinates.
Fractional positions:
H: 0.000 0.000 0.000  0.00
Co: 0.500 0.500 0.500  1.89
Ni: 0.500 0.000 0.000  0.60
Ni: 0.000 0.500 0.000  0.45
Ni: 0.000 0.000 0.500  0.46

---

Below is crystalline NpCoNi2H8 at its relaxed geometry, with properties calculated at the PBE level.

calculated total energy: -4.929 eV per atom
volume: 86 Å³ per cell

Cell: 4.361 4.361 5.813 Å, 67.97 67.97 60.00°
Site moments in Bohr magnetons follow the coordinates.
Fractional positions:
H: 0.904 0.656 0.153  0.00
H: 0.287 0.904 0.153  0.00
H: 0.187 0.187 0.439  -0.01
H: 0.096 0.344 0.847  0.00
H: 0.656 0.287 0.153  0.00
H: 0.344 0.713 0.847  0.00
H: 0.813 0.813 0.561  -0.01
H: 0.713 0.096 0.847  0.00
Ni: 0.711 0.711 0.868  0.01
Ni: 0.289 0.289 0.132  0.01
Co: 0.000 0.000 0.000  -0.17
Np: 0.500 0.500 0.500  3.67

---

Below is crystalline Np2Co3NiH12 at its relaxed geometry, with properties calculated at the PBE level.

calculated total energy: -5.248 eV per atom
volume: 133 Å³ per cell

Cell: 5.752 5.752 5.752 Å, 59.55 59.55 59.55°
Site moments in Bohr magnetons follow the coordinates.
Fractional positions:
H: 0.659 0.089 0.089  -0.01
H: 0.911 0.911 0.341  -0.01
H: 0.089 0.089 0.659  -0.01
H: 0.076 0.656 0.656  -0.01
H: 0.089 0.659 0.089  -0.01
H: 0.344 0.924 0.344  -0.01
H: 0.911 0.341 0.911  -0.01
H: 0.656 0.076 0.656  -0.01
H: 0.341 0.911 0.911  -0.01
H: 0.656 0.656 0.076  -0.01
H: 0.344 0.344 0.924  -0.01
H: 0.924 0.344 0.344  -0.01
Co: 0.000 0.000 0.500  0.67
Co: 0.000 0.500 0.000  0.67
Co: 0.500 0.000 0.000  0.67
Ni: 0.000 0.000 0.000  -0.10
Np: 0.372 0.372 0.372  4.14
Np: 0.628 0.628 0.628  4.14

---

Below is crystalline Co2NiHOs at its relaxed geometry, with properties calculated at the PBE level.

offset from the most stable computed form: 10 meV/atom
calculated total energy: -6.705 eV per atom
volume: 50 Å³ per cell

Cell: 3.646 3.646 3.756 Å, 90.00 90.00 90.00°
Site moments in Bohr magnetons follow the coordinates.
Fractional positions:
H: 0.000 0.000 0.000  -0.01
Co: 0.000 0.500 0.000  1.45
Co: 0.500 0.000 0.000  1.45
Os: 0.000 0.000 0.500  0.71
Ni: 0.500 0.500 0.500  0.70

---

Below is crystalline Co2NiHOs at its relaxed geometry, with properties calculated at the PBE level.

offset from the most stable computed form: 0 meV/atom
calculated total energy: -6.715 eV per atom
volume: 49 Å³ per cell

Cell: 3.695 3.695 3.597 Å, 90.00 90.00 90.00°
Site moments in Bohr magnetons follow the coordinates.
Fractional positions:
Co: 0.500 0.000 0.000  1.35
Co: 0.000 0.500 0.000  1.35
Os: 0.500 0.500 0.500  1.00
H: 0.000 0.000 0.000  -0.01
Ni: 0.000 0.000 0.500  0.51

---

Below is crystalline Pa2Co12NiH3 at its relaxed geometry, with properties calculated at the PBE level.

calculated total energy: -6.636 eV per atom
volume: 200 Å³ per cell

Cell: 6.578 6.578 6.578 Å, 59.78 59.78 59.78°
Site moments in Bohr magnetons follow the coordinates.
Fractional positions:
Co: 0.853 0.458 0.853  0.99
Co: 0.895 0.269 0.269  0.99
Co: 0.542 0.147 0.147  0.99
Co: 0.731 0.731 0.105  0.99
Co: 0.147 0.542 0.147  0.99
Co: 0.731 0.105 0.731  0.99
Co: 0.269 0.269 0.895  0.99
Co: 0.853 0.853 0.458  0.99
Co: 0.105 0.731 0.731  0.99
Co: 0.458 0.853 0.853  0.99
Co: 0.147 0.147 0.542  0.99
Co: 0.269 0.895 0.269  0.99
H: 0.500 0.000 0.000  -0.01
H: 0.000 0.000 0.500  -0.01
H: 0.000 0.500 0.000  -0.01
Ni: 0.000 0.000 0.000  0.82
Pa: 0.601 0.601 0.601  -0.65
Pa: 0.399 0.399 0.399  -0.65

---

Below is crystalline PaCoNiH6 at its relaxed geometry, with properties calculated at the PBE level.

calculated total energy: -5.016 eV per atom
volume: 67 Å³ per cell

Cell: 4.341 4.341 4.091 Å, 90.00 90.00 60.00°
Site moments in Bohr magnetons follow the coordinates.
Fractional positions:
H: 0.006 0.497 0.763  0.00
H: 0.497 0.497 0.763  0.00
H: 0.497 0.006 0.763  0.00
H: 0.497 0.006 0.237  0.00
H: 0.497 0.497 0.237  0.00
H: 0.006 0.497 0.237  0.00
Ni: 0.667 0.667 0.500  0.00
Co: 0.333 0.333 0.500  0.03
Pa: 0.000 0.000 0.000  0.40